The following is a DFT calculation (PBE+U) of NaPa2MoO8 after structural relaxation. Values from VASP.

Summary:
The total energy comes out at -8.36 eV per atom. The value obtained for the magnetic moment is 1.00 μB per cell. The mass density comes out at 6779 kg/m3.

Structure (Quantum ESPRESSO input):
```
&SYSTEM
  ibrav = 0, nat = 12, ntyp = 4
/
ATOMIC_SPECIES
Na 22.99 Na.upf
Pa 231.04 Pa.upf
Mo 95.94 Mo.upf
O 16.00 O.upf
CELL_PARAMETERS angstrom
3.514 -3.498 0.000
3.514 3.498 0.000
-0.065 0.000 7.064
ATOMIC_POSITIONS crystal
Na 0.000 0.000 0.000
Pa 0.495 0.495 0.248
Pa 0.505 0.505 0.752
Mo 0.000 0.000 0.500
O 0.189 0.189 0.697
O 0.199 0.199 0.290
O 0.299 0.701 0.500
O 0.321 0.679 0.000
O 0.679 0.321 0.000
O 0.701 0.299 0.500
O 0.801 0.801 0.710
O 0.811 0.811 0.303
```